[1]
CoRh at its PBEsol-relaxed geometry, computed with SCAN.

Values from the calculation:
DFT formation energy (eV per atom): 0.060
Mass density (g cm⁻³): 11.1

Cell lengths 4.4128, 4.4128, 4.4128 Å; angles 34.28, 34.28, 34.28 degrees
Element x y z (fractional)
Co 0.0000 0.0000 0.0000
Rh 0.5000 0.5000 0.5000

[2]
CaMoNO2 at its PBEsol-relaxed geometry, computed with SCAN.

Values from the calculation:
Raw formation energy (eV/f.u.): 2.34
Mass density (g cm⁻³): 4.2

Cell lengths 4.1110, 4.1110, 4.2482 Å; angles 90.00, 90.00, 90.00 degrees
Element x y z (fractional)
Ca 0.0000 0.0000 0.0000
Mo 0.5000 0.5000 0.5000
N 0.0000 0.0000 0.5000
O 0.0000 0.5000 0.0000
O 0.5000 0.0000 0.0000